The following is a DFT calculation (PBE+U) of a geometry-optimized InGaNiO4 structure.

The electronic total energy comes out at -5.55 eV per atom.

The space group is Imma (No. 74) and the conventional cell measures 6.0713, 6.2216 and 8.6076 Å, with angles of 90.00, 90.00 and 90.00 degrees. Symmetry generates all atoms from In at (0.0000, 0.0000, 0.0000), Ga at (0.0000, 0.2500, 0.3720), Ni at (0.2500, 0.2500, 0.7500), O at (0.0000, 0.0085, 0.7477) and O at (0.2495, 0.2500, 0.5060).